# 1
VASP calculation (PBE) on a relaxed structure of YMo2P.

```
data_YMo2P
_space_group_name_H-M_alt 'R -3 m'
_space_group_IT_number 166
_space_group_name_Hall '-R 3 2"'
_cell_length_a 3.4512
_cell_length_b 3.4512
_cell_length_c 22.6868
_cell_angle_alpha 90.00
_cell_angle_beta 90.00
_cell_angle_gamma 120.00
loop_
_atom_site_label
_atom_site_fract_x
_atom_site_fract_y
_atom_site_fract_z
_atom_site_occupancy
Y1 0.0000 0.0000 0.0000 1
Mo1 0.0000 0.0000 0.2221 1
P1 0.0000 0.0000 0.5000 1
```

Summary:
energy of formation from the pure elements	-0.1	eV/f.u.
total magnetization	0.00	μB per cell
calculated volume	234.0	Å³ per cell
density of states at the Fermi level	13.79	states/eV per cell
theoretical density	6637	kg/m³

=====

# 2
VASP calculation (PBE) on a relaxed structure of SmCuAg4.

```
data_SmCuAg4
_space_group_name_H-M_alt 'F -4 3 m'
_space_group_IT_number 216
_space_group_name_Hall 'F -4 2 3'
_cell_length_a 7.824
_cell_length_b 7.824
_cell_length_c 7.824
_cell_angle_alpha 90.00
_cell_angle_beta 90.00
_cell_angle_gamma 90.00
loop_
_atom_site_label
_atom_site_fract_x
_atom_site_fract_y
_atom_site_fract_z
_atom_site_occupancy
Sm1 0.000 0.000 0.000 1
Cu1 0.250 0.250 0.750 1
Ag1 0.124 0.124 0.376 1
```

Summary:
energy of formation from the pure elements	-0.1	eV/f.u.
total magnetization	0.00	μB per cell
calculated volume	478.9	Å³ per cell
density of states at the Fermi level	28.25	states/eV per cell
theoretical density	8951	kg/m³

=====

# 3
VASP calculation (PBE) on a relaxed structure of EuZn4Co.

```
data_EuZn4Co
_space_group_name_H-M_alt 'F -4 3 m'
_space_group_IT_number 216
_space_group_name_Hall 'F -4 2 3'
_cell_length_a 7.372
_cell_length_b 7.372
_cell_length_c 7.372
_cell_angle_alpha 90.00
_cell_angle_beta 90.00
_cell_angle_gamma 90.00
loop_
_atom_site_label
_atom_site_fract_x
_atom_site_fract_y
_atom_site_fract_z
_atom_site_occupancy
Eu1 0.000 0.000 0.000 1
Zn1 0.123 0.123 0.377 1
Co1 0.250 0.250 0.750 1
```

Summary:
energy of formation from the pure elements	-0.2	eV/f.u.
total magnetization	24.70	μB per cell
calculated volume	400.7	Å³ per cell
density of states at the Fermi level	33.19	states/eV per cell
theoretical density	7834	kg/m³

=====

# 4
VASP calculation (PBE) on a relaxed structure of Sr2YRu.

```
data_Sr2YRu
_space_group_name_H-M_alt 'C 1 m 1'
_space_group_IT_number 8
_space_group_name_Hall 'C -2y'
_cell_length_a 9.662
_cell_length_b 3.732
_cell_length_c 8.674
_cell_angle_alpha 90.00
_cell_angle_beta 107.37
_cell_angle_gamma 90.00
loop_
_atom_site_label
_atom_site_fract_x
_atom_site_fract_y
_atom_site_fract_z
_atom_site_occupancy
Sr1 0.000 0.000 0.000 1
Sr2 0.159 0.000 0.598 1
Y1 0.315 0.500 0.299 1
Ru1 0.033 0.500 0.298 1
```

Summary:
energy of formation from the pure elements	0.5	eV/f.u.
total magnetization	0.00	μB per cell
calculated volume	298.5	Å³ per cell
density of states at the Fermi level	7.95	states/eV per cell
theoretical density	4064	kg/m³